(1)
{
  "formula": "MoAuSeBr2",
  "functional": "GGA-PBE",
  "state": "optimized geometry",
  "space_group": "P4/mmm (123)",
  "volume_a3_per_cell": 134.2,
  "dos_at_fermi_per_ev_atom": 0.718,
  "raw_formation_energy_ev_per_fu": 1.8,
  "e_tot_ev_per_atom": -3.822,
  "relative_energy_mev_per_atom": 0.0,
  "lattice_angstrom": [[-3.393, -2.972, 2.708], [3.359, -0.147, 4.047], [-2.038, 3.999, 1.837]],
  "species": ["Se", "Au", "Mo", "Br", "Br"],
  "frac_coords": [[0.000, 0.000, 0.500], [0.500, 0.500, 0.500], [0.000, 0.000, 0.000], [0.500, 0.000, 0.000], [0.000, 0.500, 0.000]]
}

=====

(2)
{
  "formula": "AgGeTe",
  "functional": "GGA-PBE",
  "state": "optimized geometry",
  "space_group": "P-1 (2)",
  "volume_a3_per_cell": 153.7,
  "dos_at_fermi_per_ev_atom": 0.189,
  "raw_formation_energy_ev_per_fu": 0.2,
  "e_tot_ev_per_atom": -3.462,
  "relative_energy_mev_per_atom": 0.0,
  "lattice_angstrom": [[3.199, 0.005, 0.319], [1.581, 6.383, 0.116], [0.830, 1.084, 7.608]],
  "species": ["Ag", "Ag", "Te", "Te", "Ge", "Ge"],
  "frac_coords": [[0.672, 0.296, 0.712], [0.518, 0.212, 0.111], [0.403, 0.000, 0.544], [0.788, 0.509, 0.279], [0.751, 0.845, 0.010], [0.438, 0.664, 0.812]]
}